Material: Na3Y3VSe8
Method: DFT, GGA-PBE
State: relaxed

Cell and atoms, written as POSCAR:
```
Na3Y3VSe8
1.0
4.030 2.326 7.125
-4.030 2.326 7.125
0.000 -4.653 7.125
Na Y V Se
3 3 1 8
direct
0.000 0.500 0.500
0.500 0.000 0.500
0.500 0.500 0.000
0.000 0.000 0.500
0.000 0.500 0.000
0.500 0.000 0.000
0.500 0.500 0.500
0.244 0.244 0.244
0.267 0.723 0.723
0.277 0.277 0.733
0.277 0.733 0.277
0.723 0.267 0.723
0.723 0.723 0.267
0.733 0.277 0.277
0.756 0.756 0.756
```

Results
- space-group type = R-3m, No. 166
- formation energy without anion corrections (eV per formula unit) = -21.46
- Fermi-level density of states (states/eV/cell) = 6.733